Density functional theory data (PBE-GGA) for a relaxed SrTaH crystal.

Calculated values
ρ = 7.22 g/cm³
VASP energy = -5.566 eV per atom
total magnetization = 0.51 Bohr magnetons per cell
D(E_F) = 3.2 states/eV/cell

Cell lengths 3.603, 3.651, 9.423 Å; angles 90.00, 90.00, 90.00 degrees
Positions (direct):
1 Sr 0.000 0.000 0.000
2 Sr 0.500 0.500 0.375
3 Ta 0.000 0.000 0.633
4 Ta 0.500 0.500 0.740
5 H 0.000 0.000 0.423
6 H 0.500 0.000 0.193